DFT (PBE with a Hubbard U) results for crystalline CoAsN2O at its relaxed geometry.

Lattice parameters (Å, degrees): 3.640 3.640 3.896 90.00 90.00 90.00
Last column: magnetic moment on the atom in μB.
Fractional coordinates of all 5 atoms:
As: 0.500 0.500 0.500  -0.06
N: 0.500 0.000 0.000  0.46
N: 0.000 0.500 0.000  0.46
O: 0.000 0.000 0.500  0.05
Co: 0.000 0.000 0.000  1.04

Values from the calculation:
**Crystal system**: tetragonal
**M_tot**: 2.28 μB/f.u.
**Calculated total energy**: -5.212 eV per atom
**Symmetry**: P4/mmm